LiBeZnTe | PBE | relaxed

Cell: 6.3804 3.0423 8.3472 Å, 90.00 108.46 90.00°
Element x y z (fractional)
Te 0.0293 0.5000 0.5237
Be 0.4203 0.5000 0.6616
Zn 0.5025 0.5000 0.4012
Zn 0.5025 0.0000 0.9012
Li 0.7755 0.0000 0.6867
Be 0.4203 0.0000 0.1616
Te 0.0293 0.0000 0.0237
Li 0.7755 0.5000 0.1867

Output
Space-group type = Cm, No. 8
Crystal system = monoclinic
Formation energy from raw total energies = -0.04 eV per atom
V = 19.21 Å³/atom
Offset from the most stable computed form = 0.074 eV per atom